The following is a PBE calculation of a relaxed structure of Zr2S3, from the Open Quantum Materials Database.

The value obtained for the total magnetic moment is 0.00 μB/cell. The total energy comes out at -7.300 eV per atom.

It has space group C2/c (No. 15), with a = 11.190 Å, b = 7.555 Å, c = 6.589 Å, α = 90.00°, β = 121.43° and γ = 90.00°. The asymmetric unit holds Zr at (0.159, 0.079, 0.082), S at (0.000, 0.133, 0.250) and S at (0.164, 0.416, 0.060).


The following is a PBE calculation of a relaxed structure of PrTmCo, from the Open Quantum Materials Database.

The value obtained for the total magnetic moment is 0.06 μB/cell. The total energy comes out at -4.703 eV per atom. The formation enthalpy at 0 K is 749 meV per atom.

It has space group F-43m (No. 216), with a = 6.666 Å, b = 6.666 Å, c = 6.666 Å, α = 90.00°, β = 90.00° and γ = 90.00°. The asymmetric unit holds Pr at (0.000, 0.000, 0.000), Tm at (0.250, 0.250, 0.750) and Co at (0.000, 0.000, 0.500).


The following is a PBE calculation of a relaxed structure of SmTlZn, from the Open Quantum Materials Database.

The value obtained for the total magnetic moment is 0.00 μB/cell. The total energy comes out at -3.083 eV per atom.

It has space group F-43m (No. 216), with a = 6.760 Å, b = 6.760 Å, c = 6.760 Å, α = 90.00°, β = 90.00° and γ = 90.00°. The asymmetric unit holds Sm at (0.000, 0.000, 0.000), Tl at (0.000, 0.000, 0.500) and Zn at (0.250, 0.250, 0.250).


The following is a PBE calculation of a relaxed structure of Sr2BeCd, from the Open Quantum Materials Database.

The total energy comes out at -1.716 eV per atom.

It has space group F-43m (No. 216), with a = 7.468 Å, b = 7.468 Å, c = 7.468 Å, α = 90.00°, β = 90.00° and γ = 90.00°. The asymmetric unit holds Sr at (0.000, 0.000, 0.000), Sr at (0.250, 0.250, 0.250), Be at (0.000, 0.000, 0.500) and Cd at (0.250, 0.250, 0.750).


The following is a PBE calculation of a relaxed structure of Li2TaIn, from the Open Quantum Materials Database.

The value obtained for the total magnetic moment is 0.03 μB/cell. The total energy comes out at -4.212 eV per atom.

It has space group F-43m (No. 216), with a = 6.570 Å, b = 6.570 Å, c = 6.570 Å, α = 90.00°, β = 90.00° and γ = 90.00°. The asymmetric unit holds Li at (0.000, 0.000, 0.000), Li at (0.250, 0.250, 0.250), Ta at (0.250, 0.250, 0.750) and In at (0.000, 0.000, 0.500).


The following is a PBE calculation of a relaxed structure of TbTm2In3CuPt2, from the Open Quantum Materials Database.

The value obtained for the total magnetic moment is 0.01 μB/cell. The total energy comes out at -5.018 eV per atom.

It has space group Amm2 (No. 38), with a = 3.706 Å, b = 13.391 Å, c = 7.704 Å, α = 90.00°, β = 90.00° and γ = 90.00°. The asymmetric unit holds Tb at (0.000, 0.000, 0.000), Tm at (0.000, 0.206, 0.616), In at (0.500, 0.000, 0.665), In at (0.500, 0.128, 0.283), Cu at (0.000, 0.000, 0.411) and Pt at (0.500, 0.169, 0.909).


The following is a PBE calculation of a relaxed structure of CsAcSm, from the Open Quantum Materials Database.

The value obtained for the total magnetic moment is 6.79 μB/cell. The total energy comes out at -2.154 eV per atom.

It has space group F-43m (No. 216), with a = 8.922 Å, b = 8.922 Å, c = 8.922 Å, α = 90.00°, β = 90.00° and γ = 90.00°. The asymmetric unit holds Cs at (0.000, 0.000, 0.000), Ac at (0.000, 0.000, 0.500) and Sm at (0.250, 0.250, 0.750).


The following is a PBE calculation of a relaxed structure of Na2CdO4, from the Open Quantum Materials Database.

The total energy comes out at -3.513 eV per atom.

It has space group Fd-3m (No. 227, origin choice 2), with a = 9.324 Å, b = 9.324 Å, c = 9.324 Å, α = 90.00°, β = 90.00° and γ = 90.00°. The asymmetric unit holds Na at (0.000, 0.000, 0.000), Cd at (0.125, 0.125, 0.625) and O at (0.003, 0.003, 0.247).